BaLaCd2Pd: optimized geometry, PBE.

Calculated values
- Density of states at the Fermi level: 2.9 states/eV/cell
- Formation enthalpy at 0 K: -1.71 eV per formula unit
- Total magnetization: 0.000 μB/atom
- Symmetry: P4/mmm, No. 123

Lattice parameters (Å, degrees): 5.491 5.491 5.311 90.00 90.00 90.00
Element x y z (fractional)
Cd: 0.000 0.500 0.000
Cd: 0.500 0.000 0.000
Ba: 0.500 0.500 0.500
Pd: 0.000 0.000 0.000
La: 0.000 0.000 0.500



Li2FeBr6: optimized geometry, PBE.

Calculated values
- Density of states at the Fermi level: 11.6 states/eV/cell
- Energy above the most stable polymorph in this dataset: 26 meV/atom
- Total magnetization: 0.219 μB/atom
- Formation energy from raw total energies: -0.791 eV per atom
- Symmetry: P2_1/c, No. 14

Lattice parameters (Å, degrees): 6.532 7.126 10.288 90.00 86.69 90.00
Site moments in Bohr magnetons follow the coordinates.
Element x y z (fractional)
Li: 0.017 0.360 0.849  0.00
Li: 0.483 0.860 0.651  0.00
Li: 0.517 0.140 0.349  0.00
Li: 0.983 0.640 0.151  0.00
Fe: 0.500 0.500 0.000  1.91
Fe: 0.000 0.000 0.500  1.91
Br: 0.873 0.972 0.279  -0.03
Br: 0.833 0.711 0.560  0.04
Br: 0.809 0.674 0.928  -0.02
Br: 0.691 0.174 0.572  -0.02
Br: 0.667 0.211 0.940  0.04
Br: 0.627 0.472 0.221  -0.03
Br: 0.127 0.028 0.721  -0.03
Br: 0.167 0.289 0.440  0.04
Br: 0.191 0.326 0.072  -0.02
Br: 0.309 0.826 0.428  -0.02
Br: 0.333 0.789 0.060  0.04
Br: 0.373 0.528 0.779  -0.03



Tb2SmOsN4: optimized geometry, PBE.

Calculated values
- Density of states at the Fermi level: 4.6 states/eV/cell
- Total magnetization: 0.000 μB/atom
- Formation energy from raw total energies: -0.940 eV per atom
- Symmetry: Cmcm, No. 63

Lattice parameters (Å, degrees): 3.428 6.107 11.738 90.00 90.00 106.30
Element x y z (fractional)
Tb: 0.369 0.737 0.541
Tb: 0.631 0.263 0.041
Tb: 0.631 0.263 0.459
Tb: 0.369 0.737 0.959
Sm: 0.124 0.247 0.750
Sm: 0.876 0.753 0.250
Os: 0.859 0.719 0.750
Os: 0.141 0.281 0.250
N: 0.268 0.537 0.131
N: 0.732 0.463 0.631
N: 0.732 0.463 0.869
N: 0.268 0.537 0.369
N: 0.000 0.000 0.500
N: 0.000 0.000 0.000
N: 0.443 0.886 0.750
N: 0.557 0.114 0.250



MgSe3S: optimized geometry, PBE.

Calculated values
- Density of states at the Fermi level: 2.2 states/eV/cell
- Energy above the most stable polymorph in this dataset: 0 meV/atom
- Total magnetization: 0.000 μB/atom
- Formation energy from raw total energies: 0.198 eV per atom
- Symmetry: Pm-3m, No. 221

Lattice parameters (Å, degrees): 4.876 4.876 4.876 90.00 90.00 90.00
Element x y z (fractional)
S: 0.000 0.000 0.000
Mg: 0.500 0.500 0.500
Se: 0.000 0.500 0.000
Se: 0.000 0.000 0.500
Se: 0.500 0.000 0.000